DFT (PBE-GGA) results for a relaxed structure of FePt2Au. Values from VASP.

```
&SYSTEM
  ibrav = 0, nat = 4, ntyp = 3
/
ATOMIC_SPECIES
Pt 195.08 Pt.upf
Au 196.97 Au.upf
Fe 55.84 Fe.upf
CELL_PARAMETERS angstrom
4.470 0.000 0.000
2.235 3.871 0.000
2.235 1.290 3.650
ATOMIC_POSITIONS angstrom
Pt 0.000 0.000 0.000
Pt 2.235 1.290 0.912
Au 4.470 2.581 1.825
Fe 6.705 3.871 2.737
```

Spin magnetization = 0.93 μB/atom
Energy above the most stable polymorph in this dataset = 0.208 eV/atom
E = -5.889 eV/atom
Crystal system = cubic